Entry 1:
TaIn2SbW | Alexandria via LeMat-Bulk | GGA-PBE | relaxed; space group = P4/mmm, No. 123; raw total energy = -5.32 eV/atom; formation energy from raw total energies = 1558 meV per atom; density of states at the Fermi level = 7.17 states/eV/cell
1.0
5.232 0.000 0.000
0.000 5.232 0.000
0.000 0.000 5.076
Ta In Sb W
1 2 1 1
Direct
0.000 0.000 0.000 Ta
0.000 0.500 0.500 In
0.500 0.000 0.500 In
0.500 0.500 0.000 Sb
0.500 0.500 0.500 W

=====

Entry 2:
MgGa2Re | Alexandria via LeMat-Bulk | GGA-PBE | relaxed; space group = I-42d, No. 122; DFT formation energy = 0.498 eV per atom; raw total energy = -4.53 eV/atom; density of states at the Fermi level = 5.56 states/eV/cell
1.0
-1.986 1.986 9.162
1.986 -1.986 9.162
1.986 1.986 -9.162
Mg Ga Re
2 4 2
Direct
0.000 0.000 0.000 Mg
0.750 0.250 0.500 Mg
0.169 0.625 0.044 Ga
0.375 0.419 0.544 Ga
0.581 0.125 0.956 Ga
0.875 0.831 0.456 Ga
0.250 0.750 0.500 Re
0.500 0.500 0.000 Re

=====

Entry 3:
NiMoBr | Alexandria via LeMat-Bulk | GGA-PBE | relaxed; space group = F-43m, No. 216; excess energy over the best structure of this formula in the dataset = 639 meV per atom; raw total energy = -4.99 eV/atom; formation energy from raw total energies = 1108 meV per atom; density of states at the Fermi level = 3.10 states/eV/cell
1.0
0.000 2.910 2.910
2.910 0.000 2.910
2.910 2.910 0.000
Ni Mo Br
1 1 1
Direct
0.000 0.000 0.000 Ni
0.500 0.500 0.500 Mo
0.250 0.250 0.250 Br